Record 1
Compound: TcMoH2
Source: Alexandria
Functional: PBE
Structure: optimized geometry

Structure (POSCAR):
```
TcMoH2
1.0
2.9110 0.0000 0.0000
-1.4555 2.5210 0.0000
0.0000 0.0000 15.0259
Tc Mo H
3 3 6
direct
0.0000 0.0000 0.0000
0.3333 0.6667 0.6667
0.6667 0.3333 0.3333
0.0000 0.0000 0.5000
0.3333 0.6667 0.1667
0.6667 0.3333 0.8333
0.0000 0.0000 0.3790
0.0000 0.0000 0.6210
0.3333 0.6667 0.0456
0.3333 0.6667 0.2877
0.6667 0.3333 0.7123
0.6667 0.3333 0.9544
```

Record 2
Compound: LiMgPO2
Source: Alexandria
Functional: PBE
Structure: optimized geometry

Structure (POSCAR):
```
LiMgPO2
1.0
3.7771 0.0000 0.0000
0.0000 3.7771 0.0000
0.0000 0.0000 4.4405
Li Mg P O
1 1 1 2
direct
0.0000 0.0000 0.0000
0.5000 0.5000 0.5000
0.0000 0.0000 0.5000
0.0000 0.5000 0.0000
0.5000 0.0000 0.0000
```

Values from the calculation:
Raw formation energy, eV/atom: -0.085

no.,E (eV per atom),DOS at the Fermi energy (states/eV/atom)
1,-6.780,0.434
2,-3.852,0.553